(1)
# PBE YGa2Rh, optimized geometry
# **Fermi-level density of states**: 1.33 states/eV/f.u.
# **Raw total energy**: -89.425 eV/cell
# **Energy of formation**: -0.622 eV per atom
data_YGa2Rh
_cell_length_a 6.550
_cell_length_b 6.550
_cell_length_c 6.550
_cell_angle_alpha 90.00
_cell_angle_beta 90.00
_cell_angle_gamma 90.00
_space_group_name_H-M_alt 'F m -3 m'
_space_group_IT_number 225
_space_group_name_Hall '-F 4 2 3'
loop_
_atom_site_label
_atom_site_type_symbol
_atom_site_fract_x
_atom_site_fract_y
_atom_site_fract_z
Y1 Y 0.000 0.000 0.000
Ga1 Ga 0.250 0.250 0.250
Rh1 Rh 0.000 0.000 0.500

=====

(2)
# PBE Y6Ga3Rh, optimized geometry
# **Fermi-level density of states**: 6.25 states/eV/f.u.
# **Raw total energy**: -120.536 eV/cell
# **Energy of formation**: -0.505 eV per atom
data_Y6Ga3Rh
_cell_length_a 8.688
_cell_length_b 11.452
_cell_length_c 5.043
_cell_angle_alpha 90.00
_cell_angle_beta 90.00
_cell_angle_gamma 90.00
_space_group_name_H-M_alt 'P n n m'
_space_group_IT_number 58
_space_group_name_Hall '-P 2 2n'
loop_
_atom_site_label
_atom_site_type_symbol
_atom_site_fract_x
_atom_site_fract_y
_atom_site_fract_z
Y1 Y 0.004 0.245 0.000
Y2 Y 0.163 0.087 0.500
Y3 Y 0.176 0.417 0.500
Ga1 Ga 0.000 0.500 0.000
Ga2 Ga 0.162 0.741 0.500
Rh1 Rh 0.000 0.000 0.000

=====

(3)
# PBE Y6GaRh5, optimized geometry
# **Fermi-level density of states**: 6.26 states/eV/f.u.
# **Raw total energy**: -176.029 eV/cell
# **Energy of formation**: -0.787 eV per atom
data_Y6GaRh5
_cell_length_a 8.473
_cell_length_b 14.739
_cell_length_c 4.891
_cell_angle_alpha 90.00
_cell_angle_beta 125.19
_cell_angle_gamma 90.00
_space_group_name_H-M_alt 'C 1 2/m 1'
_space_group_IT_number 12
_space_group_name_Hall '-C 2y'
loop_
_atom_site_label
_atom_site_type_symbol
_atom_site_fract_x
_atom_site_fract_y
_atom_site_fract_z
Y1 Y 0.242 0.000 0.242
Y2 Y 0.246 0.169 0.746
Ga1 Ga 0.000 0.500 0.000
Rh1 Rh 0.000 0.000 0.500
Rh2 Rh 0.000 0.168 0.000
Rh3 Rh 0.000 0.335 0.500

=====

(4)
# PBE YGa12Rh7, optimized geometry
# **Fermi-level density of states**: 8.70 states/eV/f.u.
# **Raw total energy**: -197.031 eV/cell
# **Energy of formation**: -0.213 eV per atom
data_YGa12Rh7
_cell_length_a 9.137
_cell_length_b 9.137
_cell_length_c 9.137
_cell_angle_alpha 90.00
_cell_angle_beta 90.00
_cell_angle_gamma 90.00
_space_group_name_H-M_alt 'I m -3'
_space_group_IT_number 204
_space_group_name_Hall '-I 2 2 3'
loop_
_atom_site_label
_atom_site_type_symbol
_atom_site_fract_x
_atom_site_fract_y
_atom_site_fract_z
Y1 Y 0.000 0.000 0.000
Ga1 Ga 0.000 0.221 0.335
Rh1 Rh 0.000 0.000 0.500
Rh2 Rh 0.250 0.250 0.250

=====

(5)
# PBE Y3Ga3Rh, optimized geometry
# **Fermi-level density of states**: 4.79 states/eV/f.u.
# **Raw total energy**: -164.272 eV/cell
# **Energy of formation**: -0.749 eV per atom
data_Y3Ga3Rh
_cell_length_a 10.889
_cell_length_b 4.286
_cell_length_c 14.141
_cell_angle_alpha 90.00
_cell_angle_beta 109.94
_cell_angle_gamma 90.00
_space_group_name_H-M_alt 'C 1 2/m 1'
_space_group_IT_number 12
_space_group_name_Hall '-C 2y'
loop_
_atom_site_label
_atom_site_type_symbol
_atom_site_fract_x
_atom_site_fract_y
_atom_site_fract_z
Y1 Y 0.027 0.000 0.381
Y2 Y 0.107 0.000 0.923
Y3 Y 0.238 0.000 0.235
Ga1 Ga 0.032 0.500 0.234
Ga2 Ga 0.109 0.500 0.076
Ga3 Ga 0.136 0.500 0.540
Rh1 Rh 0.244 0.500 0.403

=====

(6)
# PBE YGa3Rh2, optimized geometry
# **Fermi-level density of states**: 3.31 states/eV/f.u.
# **Raw total energy**: -138.847 eV/cell
# **Energy of formation**: -0.744 eV per atom
data_YGa3Rh2
_cell_length_a 9.306
_cell_length_b 7.958
_cell_length_c 5.697
_cell_angle_alpha 90.00
_cell_angle_beta 90.00
_cell_angle_gamma 90.00
_space_group_name_H-M_alt 'C m c m'
_space_group_IT_number 63
_space_group_name_Hall '-C 2c 2'
loop_
_atom_site_label
_atom_site_type_symbol
_atom_site_fract_x
_atom_site_fract_y
_atom_site_fract_z
Y1 Y 0.000 0.139 0.250
Ga1 Ga 0.000 0.487 0.750
Ga2 Ga 0.164 0.222 0.750
Rh1 Rh 0.224 0.500 0.000

=====

(7)
# PBE Y3Ga3Rh2, optimized geometry
# **Fermi-level density of states**: 5.48 states/eV/f.u.
# **Raw total energy**: -198.096 eV/cell
# **Energy of formation**: -0.794 eV per atom
data_Y3Ga3Rh2
_cell_length_a 7.834
_cell_length_b 15.165
_cell_length_c 5.600
_cell_angle_alpha 90.00
_cell_angle_beta 90.00
_cell_angle_gamma 90.00
_space_group_name_H-M_alt 'P n m a'
_space_group_IT_number 62
_space_group_name_Hall '-P 2ac 2n'
loop_
_atom_site_label
_atom_site_type_symbol
_atom_site_fract_x
_atom_site_fract_y
_atom_site_fract_z
Y1 Y 0.037 0.109 0.117
Y2 Y 0.174 0.250 0.629
Ga1 Ga 0.169 0.750 0.626
Ga2 Ga 0.180 0.036 0.603
Rh1 Rh 0.109 0.609 0.375

=====

(8)
# PBE YGaRh3, optimized geometry
# **Fermi-level density of states**: 7.41 states/eV/f.u.
# **Raw total energy**: -32.578 eV/cell
# **Energy of formation**: -0.207 eV per atom
# **Energy above the lowest structure with this stoichiometry**: 0 meV/atom
data_YGaRh3
_cell_length_a 4.573
_cell_length_b 4.573
_cell_length_c 4.573
_cell_angle_alpha 90.00
_cell_angle_beta 90.00
_cell_angle_gamma 90.00
_space_group_name_H-M_alt 'P m -3 m'
_space_group_IT_number 221
_space_group_name_Hall '-P 4 2 3'
loop_
_atom_site_label
_atom_site_type_symbol
_atom_site_fract_x
_atom_site_fract_y
_atom_site_fract_z
Y1 Y 0.000 0.000 0.000
Ga1 Ga 0.500 0.500 0.500
Rh1 Rh 0.000 0.500 0.500

=====

(9)
# PBE Y2ZnGa3Rh4, optimized geometry
# **Fermi-level density of states**: 5.35 states/eV/f.u.
# **Raw total energy**: -60.242 eV/cell
# **Energy of formation**: -0.755 eV per atom
data_Y2ZnGa3Rh4
_cell_length_a 4.198
_cell_length_b 4.198
_cell_length_c 10.257
_cell_angle_alpha 90.00
_cell_angle_beta 90.00
_cell_angle_gamma 90.00
_space_group_name_H-M_alt 'P -4 m 2'
_space_group_IT_number 115
_space_group_name_Hall 'P -4 -2'
loop_
_atom_site_label
_atom_site_type_symbol
_atom_site_fract_x
_atom_site_fract_y
_atom_site_fract_z
Y1 Y 0.000 0.500 0.241
Zn1 Zn 0.000 0.000 0.500
Ga1 Ga 0.000 0.500 0.873
Ga2 Ga 0.500 0.500 0.500
Rh1 Rh 0.000 0.000 0.000
Rh2 Rh 0.000 0.500 0.635
Rh3 Rh 0.500 0.500 0.000

=====

(10)
# PBE Yb2Ga9Rh3, optimized geometry
# **Fermi-level density of states**: 29.09 states/eV/f.u.
# **Raw total energy**: -245.826 eV/cell
# **Energy of formation**: -0.651 eV per atom
data_Yb2Ga9Rh3
_cell_length_a 12.989
_cell_length_b 7.583
_cell_length_c 9.657
_cell_angle_alpha 90.00
_cell_angle_beta 90.00
_cell_angle_gamma 90.00
_space_group_name_H-M_alt 'C m c m'
_space_group_IT_number 63
_space_group_name_Hall '-C 2c 2'
loop_
_atom_site_label
_atom_site_type_symbol
_atom_site_fract_x
_atom_site_fract_y
_atom_site_fract_z
Yb1 Yb 0.164 0.165 0.250
Ga1 Ga 0.000 0.128 0.750
Ga2 Ga 0.000 0.334 0.064
Ga3 Ga 0.106 0.443 0.750
Ga4 Ga 0.166 0.169 0.577
Rh1 Rh 0.000 0.000 0.000
Rh2 Rh 0.172 0.500 0.000

=====

(11)
# PBE Yb3Ga8Rh3, optimized geometry
# **Fermi-level density of states**: 44.58 states/eV/f.u.
# **Raw total energy**: -119.427 eV/cell
# **Energy of formation**: -0.633 eV per atom
data_Yb3Ga8Rh3
_cell_length_a 4.213
_cell_length_b 9.721
_cell_length_c 12.567
_cell_angle_alpha 90.00
_cell_angle_beta 90.00
_cell_angle_gamma 90.00
_space_group_name_H-M_alt 'I m m m'
_space_group_IT_number 71
_space_group_name_Hall '-I 2 2'
loop_
_atom_site_label
_atom_site_type_symbol
_atom_site_fract_x
_atom_site_fract_y
_atom_site_fract_z
Yb1 Yb 0.000 0.000 0.000
Yb2 Yb 0.000 0.000 0.325
Ga1 Ga 0.000 0.286 0.120
Ga2 Ga 0.000 0.365 0.329
Rh1 Rh 0.000 0.225 0.500
Rh2 Rh 0.000 0.500 0.000

=====

(12)
# PBE ZnGa6Rh5, optimized geometry
# **Fermi-level density of states**: 4.81 states/eV/f.u.
# **Raw total energy**: -125.471 eV/cell
# **Energy of formation**: -0.545 eV per atom
data_ZnGa6Rh5
_cell_length_a 4.138
_cell_length_b 7.080
_cell_length_c 11.790
_cell_angle_alpha 90.00
_cell_angle_beta 90.00
_cell_angle_gamma 90.00
_space_group_name_H-M_alt 'I m m m'
_space_group_IT_number 71
_space_group_name_Hall '-I 2 2'
loop_
_atom_site_label
_atom_site_type_symbol
_atom_site_fract_x
_atom_site_fract_y
_atom_site_fract_z
Zn1 Zn 0.000 0.000 0.000
Ga1 Ga 0.000 0.219 0.500
Ga2 Ga 0.000 0.268 0.173
Rh1 Rh 0.000 0.000 0.320
Rh2 Rh 0.000 0.500 0.000
Rh3 Rh 0.000 0.500 0.363